1.
A geometry-optimized Ac2MgNiO5 structure. Source: Alexandria, functional PBE+U.

## Properties
Total moment: 0.000 μB per atom
Calculated total energy: -6.287 eV/atom

POSCAR file:
```
Ac2MgNiO5
1.0
7.0158 0.0000 0.0000
0.0000 7.0158 0.0000
0.0000 0.0000 5.6724
Ac Mg Ni O
4 2 2 10
Direct
0.1741 0.3259 0.0000
0.3259 0.8259 0.0000
0.6741 0.1741 0.0000
0.8259 0.6741 0.0000
0.0000 0.0000 0.5000
0.5000 0.5000 0.5000
0.0000 0.5000 0.5000
0.5000 0.0000 0.5000
0.0000 0.0000 0.0000
0.1368 0.6368 0.2725
0.1368 0.6368 0.7275
0.3632 0.1368 0.2725
0.3632 0.1368 0.7275
0.5000 0.5000 0.0000
0.6368 0.8632 0.2725
0.6368 0.8632 0.7275
0.8632 0.3632 0.2725
0.8632 0.3632 0.7275
```

---

2.
A geometry-optimized Ac2MgNiO6 structure. Source: Alexandria, functional PBE+U.

## Properties
Total moment: 0.000 μB per atom
Calculated total energy: -6.651 eV/atom

POSCAR file:
```
Ac2MgNiO6
1.0
0.0000 3.9317 3.9317
3.9317 0.0000 3.9317
3.9317 3.9317 0.0000
Ac Mg Ni O
2 1 1 6
Direct
0.2500 0.2500 0.2500
0.7500 0.7500 0.7500
0.0000 0.0000 0.0000
0.5000 0.5000 0.5000
0.2597 0.2597 0.7403
0.2597 0.7403 0.2597
0.2597 0.7403 0.7403
0.7403 0.2597 0.2597
0.7403 0.2597 0.7403
0.7403 0.7403 0.2597
```